Here is an optimized crystal structure of Ce5Sb3Te from Alexandria. Energies are from PBE.

Computed properties:
Volume = 560.5 Å³ per cell
Raw formation energy = -0.744 eV/atom
Electronic total energy = -5.76 eV per atom

POSCAR file:
```
Ce5Sb3Te
1.0
-4.1504 4.1504 8.1349
4.1504 -4.1504 8.1349
4.1504 4.1504 -8.1349
Ce Sb Te
10 6 2
Direct
0.0000 0.0000 0.0000
0.0626 0.5626 0.8915
0.1711 0.0626 0.5000
0.3289 0.8289 0.8915
0.4374 0.3289 0.5000
0.5000 0.5000 0.0000
0.5626 0.6711 0.5000
0.6711 0.1711 0.1085
0.8289 0.9374 0.5000
0.9374 0.4374 0.1085
0.1238 0.3762 0.5000
0.2500 0.2500 0.0000
0.3762 0.8762 0.2524
0.6238 0.1238 0.7476
0.7500 0.7500 0.0000
0.8762 0.6238 0.5000
0.2500 0.7500 0.5000
0.7500 0.2500 0.5000
```

---

Here is an optimized crystal structure of Ce3SbTe2 from Alexandria. Energies are from PBE.

Computed properties:
Volume = 193.2 Å³ per cell
Raw formation energy = -1.275 eV/atom
Electronic total energy = -5.98 eV per atom

POSCAR file:
```
Ce3SbTe2
1.0
-2.2415 3.1805 6.7750
2.2415 -3.1805 6.7750
2.2415 3.1805 -6.7750
Ce Sb Te
3 1 2
Direct
0.0000 0.0000 0.0000
0.3356 0.3356 0.0000
0.6644 0.6644 0.0000
0.5000 0.0000 0.5000
0.1675 0.6675 0.5000
0.8325 0.3325 0.5000
```

---

Here is an optimized crystal structure of Ce8Sb5Te from Alexandria. Energies are from PBE.

Computed properties:
Volume = 419.6 Å³ per cell
Raw formation energy = -0.952 eV/atom
Electronic total energy = -6.04 eV per atom

POSCAR file:
```
Ce8Sb5Te
1.0
-4.7153 4.7153 4.7176
4.7153 -4.7153 4.7176
4.7153 4.7153 -4.7176
Ce Sb Te
8 5 1
Direct
0.0211 0.1237 0.7495
0.2267 0.4760 0.6010
0.3742 0.2717 0.2505
0.3743 0.7733 0.2493
0.5240 0.1250 0.7507
0.7283 0.9789 0.1026
0.8750 0.6257 0.3990
0.8763 0.6258 0.8974
0.0004 0.3761 0.1256
0.1252 0.9996 0.3757
0.2505 0.8748 0.8744
0.6239 0.7495 0.6243
0.7500 0.2500 0.5000
0.5000 0.5000 0.0000
```

---

Here is an optimized crystal structure of Ce2SbTe from Alexandria. Energies are from PBE.

Computed properties:
Volume = 114.9 Å³ per cell
Raw formation energy = -1.058 eV/atom
Electronic total energy = -5.84 eV per atom
Energy relative to the lowest polymorph listed for this composition = 165 meV/atom

POSCAR file:
```
Ce2SbTe
1.0
0.0000 3.8585 3.8585
3.8585 0.0000 3.8585
3.8585 3.8585 0.0000
Ce Sb Te
2 1 1
Direct
0.2500 0.2500 0.2500
0.7500 0.7500 0.7500
0.0000 0.0000 0.0000
0.5000 0.5000 0.5000
```

---

Here is an optimized crystal structure of Ce5Sb2Te from Alexandria. Energies are from PBE.

Computed properties:
Volume = 547.0 Å³ per cell
Raw formation energy = -0.498 eV/atom
Electronic total energy = -5.63 eV per atom

POSCAR file:
```
Ce5Sb2Te
1.0
3.0605 -6.4418 0.0000
3.0605 6.4418 0.0000
0.0000 0.0000 13.8715
Ce Sb Te
10 4 2
Direct
0.0432 0.9568 0.5902
0.0432 0.9568 0.9098
0.3540 0.6460 0.2500
0.3762 0.6238 0.5740
0.3762 0.6238 0.9260
0.6238 0.3762 0.0740
0.6238 0.3762 0.4260
0.6460 0.3540 0.7500
0.9568 0.0432 0.0902
0.9568 0.0432 0.4098
0.2000 0.8000 0.0810
0.2000 0.8000 0.4190
0.8000 0.2000 0.5810
0.8000 0.2000 0.9190
0.2171 0.7829 0.7500
0.7829 0.2171 0.2500
```

---

Here is an optimized crystal structure of Ce10Sb3Te3 from Alexandria. Energies are from PBE.

Computed properties:
Volume = 473.1 Å³ per cell
Raw formation energy = -0.879 eV/atom
Electronic total energy = -5.95 eV per atom

POSCAR file:
```
Ce10Sb3Te3
1.0
9.2876 0.0000 0.0000
-4.6438 8.0433 0.0000
0.0000 0.0000 6.3335
Ce Sb Te
10 3 3
Direct
0.0000 0.2601 0.0000
0.0000 0.7402 0.5000
0.2601 0.0000 0.0000
0.2598 0.2598 0.5000
0.3333 0.6667 0.2522
0.3333 0.6667 0.7478
0.6667 0.3333 0.2522
0.6667 0.3333 0.7478
0.7402 0.0000 0.5000
0.7399 0.7399 0.0000
0.0000 0.3829 0.5000
0.3829 0.0000 0.5000
0.6171 0.6171 0.5000
0.0000 0.6177 0.0000
0.3823 0.3823 0.0000
0.6177 0.0000 0.0000
```

---

Here is an optimized crystal structure of Ce6SbTe5 from Alexandria. Energies are from PBE.

Computed properties:
Volume = 385.6 Å³ per cell
Raw formation energy = -1.320 eV/atom
Electronic total energy = -5.94 eV per atom

POSCAR file:
```
Ce6SbTe5
1.0
3.8656 -6.7684 0.0000
3.8656 6.7684 0.0000
-2.6309 0.0000 7.3686
Ce Sb Te
6 1 5
Direct
0.0829 0.4140 0.7484
0.2482 0.2482 0.2511
0.4140 0.0829 0.7484
0.5860 0.9171 0.2516
0.7518 0.7518 0.7489
0.9171 0.5860 0.2516
0.0000 0.0000 0.5000
0.1674 0.8326 0.0000
0.3334 0.6666 0.5000
0.5000 0.5000 0.0000
0.6666 0.3334 0.5000
0.8326 0.1674 0.0000
```

---

Here is an optimized crystal structure of Ce6Sb3Te from Alexandria. Energies are from PBE.

Computed properties:
Volume = 653.8 Å³ per cell
Raw formation energy = -0.711 eV/atom
Electronic total energy = -5.82 eV per atom

POSCAR file:
```
Ce6Sb3Te
1.0
7.5254 0.0000 0.0000
0.0000 8.7706 0.0000
-7.4381 0.0000 9.9060
Ce Sb Te
12 6 2
Direct
0.0347 0.0947 0.2506
0.0347 0.4053 0.7506
0.2156 0.6778 0.0636
0.2156 0.8222 0.5636
0.4122 0.1763 0.0654
0.4122 0.3237 0.5654
0.5878 0.6763 0.4346
0.5878 0.8237 0.9346
0.7844 0.1778 0.4364
0.7844 0.3222 0.9364
0.9653 0.5947 0.2494
0.9653 0.9053 0.7494
0.0000 0.0000 0.0000
0.0000 0.5000 0.5000
0.3054 0.1228 0.7499
0.3054 0.3772 0.2499
0.6946 0.6228 0.7501
0.6946 0.8772 0.2501
0.5000 0.0000 0.5000
0.5000 0.5000 0.0000
```

---

Here is an optimized crystal structure of Ce2SbTe from Alexandria. Energies are from PBE.

Computed properties:
Volume = 129.4 Å³ per cell
Raw formation energy = -1.223 eV/atom
Electronic total energy = -6.01 eV per atom
Energy relative to the lowest polymorph listed for this composition = 0 meV/atom

POSCAR file:
```
Ce2SbTe
1.0
2.2630 1.3065 7.2957
-2.2630 1.3065 7.2957
0.0000 -2.6131 7.2957
Ce Sb Te
2 1 1
Direct
0.2485 0.2485 0.2485
0.7515 0.7515 0.7515
0.5000 0.5000 0.5000
0.0000 0.0000 0.0000
```

---

Here is an optimized crystal structure of Ce8Sb3Te5 from Alexandria. Energies are from PBE.

Computed properties:
Volume = 516.5 Å³ per cell
Raw formation energy = -1.260 eV/atom
Electronic total energy = -5.98 eV per atom

POSCAR file:
```
Ce8Sb3Te5
1.0
4.4872 2.5907 7.4052
-4.4872 2.5907 7.4052
0.0000 -5.1814 7.4052
Ce Sb Te
8 3 5
Direct
0.2469 0.7499 0.7499
0.2484 0.2484 0.2484
0.2501 0.2501 0.7531
0.2501 0.7531 0.2501
0.7499 0.2469 0.7499
0.7499 0.7499 0.2469
0.7516 0.7516 0.7516
0.7531 0.2501 0.2501
0.0000 0.0000 0.5000
0.0000 0.5000 0.0000
0.5000 0.0000 0.0000
0.0000 0.0000 0.0000
0.0000 0.5000 0.5000
0.5000 0.0000 0.5000
0.5000 0.5000 0.0000
0.5000 0.5000 0.5000
```

---

Here is an optimized crystal structure of Ce2SbTe from Alexandria. Energies are from PBE.

Computed properties:
Volume = 263.0 Å³ per cell
Raw formation energy = -1.175 eV/atom
Electronic total energy = -5.96 eV per atom
Energy relative to the lowest polymorph listed for this composition = 48 meV/atom

POSCAR file:
```
Ce2SbTe
1.0
4.4529 0.0000 0.0000
-2.2265 3.8563 0.0000
0.0000 0.0000 15.3182
Ce Sb Te
4 2 2
Direct
0.3333 0.6667 0.1183
0.3333 0.6667 0.3817
0.6667 0.3333 0.6183
0.6667 0.3333 0.8817
0.0000 0.0000 0.0000
0.0000 0.0000 0.5000
0.3333 0.6667 0.7500
0.6667 0.3333 0.2500
```

---

Here is an optimized crystal structure of Ce2SbTe from Alexandria. Energies are from PBE.

Computed properties:
Volume = 128.7 Å³ per cell
Raw formation energy = -1.223 eV/atom
Electronic total energy = -6.01 eV per atom
Energy relative to the lowest polymorph listed for this composition = 0 meV/atom

POSCAR file:
```
Ce2SbTe
1.0
4.4975 0.0000 0.0000
0.0000 4.4975 0.0000
0.0000 0.0000 6.3618
Ce Sb Te
2 1 1
Direct
0.0000 0.0000 0.0000
0.5000 0.5000 0.5000
0.0000 0.0000 0.5000
0.5000 0.5000 0.0000
```